# Sr3SnBi4 (GGA-PBE, relaxed)
data_Sr3SnBi4
_space_group_name_H-M_alt 'P 1'
_space_group_IT_number 1
_cell_length_a 6.970
_cell_length_b 6.996
_cell_length_c 11.285
_cell_angle_alpha 90.00
_cell_angle_beta 90.00
_cell_angle_gamma 90.00
loop_
_space_group_symop_operation_xyz
'x,y,z'
loop_
_atom_site_label
_atom_site_type_symbol
_atom_site_fract_x
_atom_site_fract_y
_atom_site_fract_z
Sr1 Sr 0.712 0.001 0.000
Sr2 Sr 0.943 0.683 0.252
Sr3 Sr 0.443 0.317 0.248
Sr4 Sr 0.212 0.999 0.500
Sr5 Sr 0.443 0.317 0.752
Sr6 Sr 0.943 0.683 0.748
Sn1 Sn 0.135 0.399 0.000
Sn2 Sn 0.635 0.601 0.500
Bi1 Bi 0.210 0.955 0.000
Bi2 Bi 0.699 0.498 0.000
Bi3 Bi 0.937 0.189 0.256
Bi4 Bi 0.437 0.811 0.244
Bi5 Bi 0.199 0.502 0.500
Bi6 Bi 0.710 0.045 0.500
Bi7 Bi 0.437 0.811 0.756
Bi8 Bi 0.937 0.189 0.744
# * density of states at the Fermi level: 4.3 states/eV/f.u.
# * raw total energy: -58.278 eV per cell
# * formation enthalpy at 0 K: -0.57 eV/atom

=====

# SrSnBi (GGA-PBE, relaxed)
data_SrSnBi
_space_group_name_H-M_alt 'P 1'
_space_group_IT_number 1
_cell_length_a 6.486
_cell_length_b 4.787
_cell_length_c 7.318
_cell_angle_alpha 90.50
_cell_angle_beta 104.00
_cell_angle_gamma 111.86
loop_
_space_group_symop_operation_xyz
'x,y,z'
loop_
_atom_site_label
_atom_site_type_symbol
_atom_site_fract_x
_atom_site_fract_y
_atom_site_fract_z
Sr1 Sr 0.339 0.791 0.159
Sr2 Sr 0.775 0.511 0.597
Bi1 Bi 0.027 0.136 0.351
Bi2 Bi 0.729 0.480 0.073
Sn1 Sn 0.402 0.824 0.667
Sn2 Sn 0.197 0.221 0.807
# * density of states at the Fermi level: 0.9 states/eV/f.u.
# * raw total energy: -22.258 eV per cell
# * energy relative to the lowest polymorph listed for this composition: 0 meV per atom
# * formation enthalpy at 0 K: -0.52 eV/atom